VASP calculation (PBE-GGA) on crystalline YTlCdAg at its relaxed geometry.

Computed properties:
For the spin magnetization, the calculation gives 0.0 μB per formula unit. The value obtained for the total energy is -3.376 eV/atom. The space-group type is No. 216.

Lattice parameters (Å, degrees): 5.0899 5.0899 5.0899 60.00 60.00 60.00
Sites, in units of the cell vectors:
1 Cd 0.2500 0.2500 0.2500
2 Y 0.7500 0.7500 0.7500
3 Ag 0.5000 0.5000 0.5000
4 Tl 0.0000 0.0000 0.0000

VASP calculation (PBE-GGA) on crystalline Ba4Tm at its relaxed geometry.

Computed properties:
For the spin magnetization, the calculation gives 0.0 μB per formula unit. The value obtained for the total energy is -1.972 eV/atom. The space-group type is No. 221.

Lattice parameters (Å, degrees): 6.7721 6.7721 6.7721 90.00 90.00 90.00
Sites, in units of the cell vectors:
1 Ba 0.0000 0.5000 0.5000
2 Ba 0.0000 0.0000 0.0000
3 Ba 0.5000 0.5000 0.0000
4 Ba 0.5000 0.0000 0.5000
5 Tm 0.5000 0.5000 0.5000

VASP calculation (PBE-GGA) on crystalline LiCuRh2 at its relaxed geometry.

Computed properties:
For the spin magnetization, the calculation gives 0.0 μB per formula unit. The value obtained for the total energy is -4.784 eV/atom. The space-group type is No. 122.

Lattice parameters (Å, degrees): 6.7550 6.7550 5.3961 51.25 51.25 90.00
Sites, in units of the cell vectors:
1 Cu 0.0000 0.0000 0.0000
2 Cu 0.7500 0.2500 0.5000
3 Li 0.5000 0.5000 0.0000
4 Li 0.2500 0.7500 0.5000
5 Rh 0.6271 0.1250 0.2500
6 Rh 0.3750 0.3729 0.7500
7 Rh 0.8750 0.8771 0.7500
8 Rh 0.1229 0.6250 0.2500

VASP calculation (PBE-GGA) on crystalline FeNi2As at its relaxed geometry.

Computed properties:
For the spin magnetization, the calculation gives 3.2 μB per formula unit. The value obtained for the total energy is -6.184 eV/atom. The space-group type is No. 10.

Lattice parameters (Å, degrees): 3.8103 2.7089 5.0169 73.20 90.00 90.00
Site moments in Bohr magnetons follow the coordinates.
Sites, in units of the cell vectors:
1 Ni 0.0000 0.1123 0.0022  0.30
2 Ni 0.0000 0.3877 0.4978  0.30
3 As 0.5000 0.2500 0.2500  -0.01
4 Fe 0.5000 0.7500 0.7500  2.66

VASP calculation (PBE-GGA) on crystalline Ce3DyO at its relaxed geometry.

Computed properties:
For the spin magnetization, the calculation gives 0.0 μB per formula unit. The value obtained for the total energy is -6.545 eV/atom. The space-group type is No. 221.

Lattice parameters (Å, degrees): 4.9373 4.9373 4.9373 90.00 90.00 90.00
Sites, in units of the cell vectors:
1 Ce 0.0000 0.0000 0.5000
2 Ce 0.0000 0.5000 0.0000
3 Ce 0.5000 0.0000 0.0000
4 O 0.0000 0.0000 0.0000
5 Dy 0.5000 0.5000 0.5000

VASP calculation (PBE-GGA) on crystalline CaAlGa2Cu4 at its relaxed geometry.

Computed properties:
For the spin magnetization, the calculation gives 0.0 μB per formula unit. The value obtained for the total energy is -3.705 eV/atom. The space-group type is No. 166.

Lattice parameters (Å, degrees): 4.1796 4.1796 8.9973 76.57 76.57 60.00
Sites, in units of the cell vectors:
1 Ca 0.0000 0.0000 0.0000
2 Ga 0.2457 0.2457 0.2629
3 Ga 0.7543 0.7543 0.7371
4 Al 0.5000 0.5000 0.5000
5 Cu 0.5926 0.5926 0.2223
6 Cu 0.4074 0.4074 0.7777
7 Cu 0.1332 0.1332 0.6003
8 Cu 0.8668 0.8668 0.3997

VASP calculation (PBE-GGA) on crystalline Ho2Al6Cu9 at its relaxed geometry.

Computed properties:
For the spin magnetization, the calculation gives 0.0 μB per formula unit. The value obtained for the total energy is -4.218 eV/atom. The space-group type is No. 191.

Lattice parameters (Å, degrees): 5.2044 5.2044 12.0768 90.00 90.00 120.00
Sites, in units of the cell vectors:
1 Cu 0.0000 0.5000 0.8313
2 Cu 0.5000 0.0000 0.1687
3 Cu 0.5000 0.0000 0.8313
4 Cu 0.5000 0.5000 0.8313
5 Cu 0.5000 0.5000 0.5000
6 Cu 0.5000 0.0000 0.5000
7 Cu 0.0000 0.5000 0.1687
8 Cu 0.0000 0.5000 0.5000
9 Cu 0.5000 0.5000 0.1687
10 Al 0.3333 0.6667 0.3358
11 Al 0.3333 0.6667 0.0000
12 Al 0.6667 0.3333 0.0000
13 Al 0.6667 0.3333 0.3358
14 Al 0.6667 0.3333 0.6642
15 Al 0.3333 0.6667 0.6642
16 Ho 0.0000 0.0000 0.6714
17 Ho 0.0000 0.0000 0.3286

VASP calculation (PBE-GGA) on crystalline SrHoSb2 at its relaxed geometry.

Computed properties:
For the spin magnetization, the calculation gives 0.0 μB per formula unit. The value obtained for the total energy is -4.564 eV/atom. The space-group type is No. 166.

Lattice parameters (Å, degrees): 4.4473 4.4473 8.2241 74.31 74.31 60.00
Sites, in units of the cell vectors:
1 Sr 0.5000 0.5000 0.5000
2 Sb 0.2588 0.2588 0.2236
3 Sb 0.7412 0.7412 0.7764
4 Ho 0.0000 0.0000 0.0000

VASP calculation (PBE-GGA) on crystalline Ce2AuO at its relaxed geometry.

Computed properties:
For the spin magnetization, the calculation gives 1.3 μB per formula unit. The value obtained for the total energy is -6.565 eV/atom. The space-group type is No. 166.

Lattice parameters (Å, degrees): 3.7185 3.7185 7.4131 75.47 75.47 60.00
Site moments in Bohr magnetons follow the coordinates.
Sites, in units of the cell vectors:
1 Ce 0.7710 0.7710 0.6871  0.50
2 Ce 0.2290 0.2290 0.3129  0.50
3 Au 0.0000 0.0000 0.0000  0.02
4 O 0.5000 0.5000 0.5000  -0.01

VASP calculation (PBE-GGA) on crystalline Tc4HgIr at its relaxed geometry.

Computed properties:
For the spin magnetization, the calculation gives 0.0 μB per formula unit. The value obtained for the total energy is -7.868 eV/atom. The space-group type is No. 216.

Lattice parameters (Å, degrees): 5.1485 5.1485 5.1485 60.00 60.00 60.00
Sites, in units of the cell vectors:
1 Tc 0.1243 0.6252 0.6252
2 Tc 0.6252 0.6252 0.1243
3 Tc 0.6252 0.1243 0.6252
4 Tc 0.6252 0.6252 0.6252
5 Hg 0.2500 0.2500 0.2500
6 Ir 0.0000 0.0000 0.0000

VASP calculation (PBE-GGA) on crystalline Ce2SbOs at its relaxed geometry.

Computed properties:
For the spin magnetization, the calculation gives 0.0 μB per formula unit. The value obtained for the total energy is -7.275 eV/atom. The space-group type is No. 166.

Lattice parameters (Å, degrees): 4.1385 4.1385 7.6045 74.21 74.21 60.00
Sites, in units of the cell vectors:
1 Ce 0.7368 0.7368 0.7897
2 Ce 0.2632 0.2632 0.2103
3 Sb 0.5000 0.5000 0.5000
4 Os 0.0000 0.0000 0.0000

VASP calculation (PBE-GGA) on crystalline Hf2ZrTl at its relaxed geometry.

Computed properties:
For the spin magnetization, the calculation gives 0.0 μB per formula unit. The value obtained for the total energy is -7.668 eV/atom. The space-group type is No. 123.

Lattice parameters (Å, degrees): 3.1562 3.1562 9.2750 90.00 90.00 90.00
Sites, in units of the cell vectors:
1 Tl 0.5000 0.5000 0.5000
2 Hf 0.0000 0.0000 0.7586
3 Hf 0.0000 0.0000 0.2414
4 Zr 0.5000 0.5000 0.0000